No. 1
Compound: CaNdDy2
Source: Alexandria
Functional: PBE
Structure: optimized geometry

Results
Energy above the lowest structure with this stoichiometry in meV per atom: 108
Energy relative to the elements in meV/atom: 169.6

Cell: 5.7884 5.7884 5.7884 Å, 60.00 60.00 60.00°
With the nearest neighbours (Å) after each atom.
Positions (direct):
Nd  0.0000  0.0000  0.0000  8 Dy 3.54
Ca  0.5000  0.5000  0.5000  8 Dy 3.54
Dy  0.7500  0.7500  0.7500  4 Ca 3.54, 4 Nd 3.54
Dy  0.2500  0.2500  0.2500  4 Ca 3.54, 4 Nd 3.54



No. 2
Compound: TbPm2Hg
Source: Alexandria
Functional: PBE
Structure: optimized geometry

Results
Energy above the lowest structure with this stoichiometry in meV per atom: 9
Energy relative to the elements in meV/atom: -219.3

Cell: 3.6994 3.6994 8.9438 Å, 90.00 90.00 90.00°
With the nearest neighbours (Å) after each atom.
Positions (direct):
Pm  0.0000  0.0000  0.2236  4 Hg 3.29, 4 Tb 3.60
Pm  0.0000  0.0000  0.7764  4 Hg 3.29, 4 Tb 3.60
Tb  0.5000  0.5000  0.5000  8 Pm 3.60, 4 Tb 3.70
Hg  0.5000  0.5000  0.0000  8 Pm 3.29



No. 3
Compound: SrAc2Pd
Source: Alexandria
Functional: PBE
Structure: optimized geometry

Results
Energy above the lowest structure with this stoichiometry in meV per atom: 0
Energy relative to the elements in meV/atom: -384.4

Cell: 6.9960 7.9110 10.9525 Å, 90.00 90.00 90.00°
With the nearest neighbours (Å) after each atom.
Positions (direct):
Sr  0.8510  0.0367  0.2500  2 Pd 3.25-3.35
Sr  0.3510  0.4633  0.7500  2 Pd 3.25-3.35
Sr  0.1490  0.9633  0.7500  2 Pd 3.25-3.35
Sr  0.6490  0.5367  0.2500  2 Pd 3.25-3.35
Ac  0.8296  0.3277  0.9328  2 Pd 3.07-3.09
Ac  0.3296  0.1723  0.4328  2 Pd 3.07-3.09
Ac  0.8296  0.3277  0.5672  2 Pd 3.07-3.09
Ac  0.1704  0.6723  0.4328  2 Pd 3.07-3.09
Ac  0.1704  0.6723  0.0672  2 Pd 3.07-3.09
Ac  0.6704  0.8277  0.9328  2 Pd 3.07-3.09
Ac  0.6704  0.8277  0.5672  2 Pd 3.07-3.09
Ac  0.3296  0.1723  0.0672  2 Pd 3.07-3.09
Pd  0.9037  0.6144  0.7500  4 Ac 3.07-3.09, 2 Sr 3.25-3.35
Pd  0.0963  0.3856  0.2500  4 Ac 3.07-3.09, 2 Sr 3.25-3.35
Pd  0.4037  0.8856  0.2500  4 Ac 3.07-3.09, 2 Sr 3.25-3.35
Pd  0.5963  0.1144  0.7500  4 Ac 3.07-3.09, 2 Sr 3.25-3.35



No. 4
Compound: K3TeH
Source: Alexandria
Functional: PBE
Structure: optimized geometry

Results
Energy above the lowest structure with this stoichiometry in meV per atom: 88

Cell: 13.8937 9.8001 9.8001 Å, 87.49 123.21 56.79°
With the nearest neighbours (Å) after each atom.
Positions (direct):
K  0.4767  0.9088  0.1524  2 H 2.69-2.72
K  0.1265  0.2577  0.2423  1 H 2.55
K  0.3735  0.7423  0.7577  1 H 2.55
K  0.8735  0.7423  0.7577  1 H 2.55
K  0.9767  0.3476  0.5912  2 H 2.69-2.72
K  0.6265  0.2577  0.2423  1 H 2.55
K  0.3601  0.4201  0.3532  1 H 2.60
K  0.8601  0.1468  0.0799  1 H 2.60
K  0.1399  0.8532  0.9201  1 H 2.60
K  0.6399  0.5799  0.6468  1 H 2.60
K  0.0233  0.6524  0.4088  2 H 2.69-2.72
K  0.5233  0.0912  0.8476  2 H 2.69-2.72
Te  0.7500  0.1663  0.6663  6 K 3.35-3.41
Te  0.2500  0.4169  0.9169  8 K 3.51-3.85
Te  0.2500  0.8337  0.3337  6 K 3.35-3.41
Te  0.7500  0.5831  0.0831  8 K 3.51-3.85
H  0.7323  0.6672  0.5213  4 K 2.55-2.72
H  0.2677  0.3328  0.4787  4 K 2.55-2.72
H  0.7677  0.0213  0.1672  4 K 2.55-2.72
H  0.2323  0.9787  0.8328  4 K 2.55-2.72



No. 5
Compound: MnAl3C
Source: Alexandria
Functional: PBE
Structure: optimized geometry

Results
Energy above the lowest structure with this stoichiometry in meV per atom: 0
Energy relative to the elements in meV/atom: 509.6

Cell: 3.9855 3.9855 3.9855 Å, 90.00 90.00 90.00°
With the nearest neighbours (Å) after each atom.
Positions (direct):
Mn  0.5000  0.5000  0.5000  12 Al 2.82
C  0.0000  0.0000  0.0000  6 Al 1.99
Al  0.0000  0.0000  0.5000  2 C 1.99
Al  0.5000  0.0000  0.0000  2 C 1.99
Al  0.0000  0.5000  0.0000  2 C 1.99



No. 6
Compound: TaMo3
Source: Alexandria
Functional: PBE
Structure: optimized geometry

Results
Energy relative to the elements in meV/atom: 60.2

Cell: 5.1123 5.1123 5.1123 Å, 90.00 90.00 90.00°
With the nearest neighbours (Å) after each atom.
Positions (direct):
Ta  0.5000  0.5000  0.5000  12 Mo 2.86
Ta  0.0000  0.0000  0.0000  12 Mo 2.86
Mo  0.2500  0.5000  0.0000  2 Mo 2.56, 4 Ta 2.86
Mo  0.5000  0.0000  0.7500  2 Mo 2.56, 4 Ta 2.86
Mo  0.7500  0.5000  0.0000  2 Mo 2.56, 4 Ta 2.86
Mo  0.5000  0.0000  0.2500  2 Mo 2.56, 4 Ta 2.86
Mo  0.0000  0.7500  0.5000  2 Mo 2.56, 4 Ta 2.86
Mo  0.0000  0.2500  0.5000  2 Mo 2.56, 4 Ta 2.86



| no. | DFT total energy (eV per atom) |
| --- | --- |
| 1 | -3.824 |
| 2 | -3.828 |
| 3 | -4.157 |
| 4 | -2.575 |
| 5 | -5.415 |
| 6 | -11.026 |